Here is a relaxed structure of AcCdCu2F8 from the Alexandria database. Energies are from PBE.

Lattice parameters (Å, degrees): 6.070 6.070 7.221 90.00 90.00 120.00
Fractional coordinates of all 12 atoms:
Ac 0.000 0.000 0.000
Cd 0.000 0.000 0.500
Cu 0.333 0.667 0.201
Cu 0.667 0.333 0.799
F 0.148 0.297 0.272
F 0.148 0.852 0.272
F 0.297 0.148 0.728
F 0.333 0.667 0.939
F 0.667 0.333 0.061
F 0.703 0.852 0.272
F 0.852 0.148 0.728
F 0.852 0.703 0.728

Results
For the uncorrected formation energy, the calculation gives -2.2929 eV/atom. The value obtained for the density of states at the Fermi level is 13.069 states/eV per cell.

Here is a relaxed structure of AcCd2CuF8 from the Alexandria database. Energies are from PBE.

Lattice parameters (Å, degrees): 4.115 5.694 7.998 94.38 90.01 90.10
Fractional coordinates of all 12 atoms:
Ac 0.000 0.000 0.000
Cd 0.499 0.452 0.713
Cd 0.501 0.548 0.287
Cu 0.000 0.000 0.500
F 0.001 0.366 0.192
F 0.002 0.167 0.717
F 0.499 0.742 0.542
F 0.499 0.765 0.052
F 0.501 0.235 0.948
F 0.501 0.258 0.458
F 0.998 0.833 0.283
F 0.999 0.634 0.808

Results
For the uncorrected formation energy, the calculation gives -2.5892 eV/atom. The value obtained for the density of states at the Fermi level is 1.850 states/eV per cell.

Here is a relaxed structure of AcCdGa2Cu from the Alexandria database. Energies are from PBE.

Lattice parameters (Å, degrees): 6.269 6.269 6.269 137.64 137.64 61.46
Fractional coordinates of all 5 atoms:
Ac 0.000 0.000 0.000
Cd 0.250 0.750 0.500
Ga 0.382 0.382 0.000
Ga 0.618 0.618 0.000
Cu 0.750 0.250 0.500

Results
The calculation puts the energy relative to the elements at -0.37 eV per atom. The value obtained for the density of states at the Fermi level is 2.353 states/eV per cell.

Here is a relaxed structure of AcCdGa4Cu2 from the Alexandria database. Energies are from PBE.

Lattice parameters (Å, degrees): 10.385 10.385 10.385 23.92 23.92 23.92
Fractional coordinates of all 8 atoms:
Ac 0.000 0.000 0.000
Cd 0.500 0.500 0.500
Ga 0.115 0.115 0.115
Ga 0.403 0.403 0.403
Ga 0.597 0.597 0.597
Ga 0.885 0.885 0.885
Cu 0.247 0.247 0.247
Cu 0.753 0.753 0.753

Results
The calculation puts the energy relative to the elements at -0.18 eV per atom. The value obtained for the density of states at the Fermi level is 3.370 states/eV per cell.

Here is a relaxed structure of AcCdGaCu from the Alexandria database. Energies are from PBE.

Lattice parameters (Å, degrees): 5.109 5.109 5.109 60.00 60.00 60.00
Fractional coordinates of all 4 atoms:
Ac 0.000 0.000 0.000
Cd 0.500 0.500 0.500
Ga 0.250 0.250 0.250
Cu 0.750 0.750 0.750

Results
The calculation puts the energy relative to the elements at -0.21 eV per atom. The value obtained for the density of states at the Fermi level is 1.516 states/eV per cell.

Here is a relaxed structure of Ac2CdGa4Cu3 from the Alexandria database. Energies are from PBE.

Lattice parameters (Å, degrees): 4.466 4.466 10.493 90.00 90.00 90.00
Fractional coordinates of all 10 atoms:
Ac 0.000 0.500 0.243
Ac 0.500 0.000 0.757
Cd 0.000 0.000 0.500
Ga 0.000 0.000 0.000
Ga 0.000 0.500 0.644
Ga 0.500 0.000 0.356
Ga 0.500 0.500 0.000
Cu 0.000 0.500 0.881
Cu 0.500 0.000 0.119
Cu 0.500 0.500 0.500

Results
The calculation puts the energy relative to the elements at -0.38 eV per atom. The value obtained for the density of states at the Fermi level is 7.461 states/eV per cell.